Below is TmIn6Pd12 after structural relaxation, with properties calculated at the GGA-PBE level.

Values from the calculation:
Energy of formation, eV/atom: -0.35
Magnetization, μB per formula unit: 0.000
Space-group type: R-3 (148)

Cell lengths 7.285, 7.285, 7.285 Å; angles 102.55, 102.55, 102.55 degrees
Positions (direct):
In 0.155 0.454 0.200
In 0.800 0.845 0.546
In 0.200 0.155 0.454
In 0.845 0.546 0.800
In 0.454 0.200 0.155
In 0.546 0.800 0.845
Pd 0.604 0.186 0.569
Pd 0.987 0.758 0.261
Pd 0.814 0.431 0.396
Pd 0.261 0.987 0.758
Pd 0.739 0.013 0.242
Pd 0.396 0.814 0.431
Pd 0.186 0.569 0.604
Pd 0.242 0.739 0.013
Pd 0.569 0.604 0.186
Pd 0.758 0.261 0.987
Pd 0.013 0.242 0.739
Pd 0.431 0.396 0.814
Tm 0.000 0.000 0.000